This record from the Alexandria database describes a relaxed structure of Ac2NdThSe4. The functional is PBE.

As for the density: 8.250 Mg/m³. The symmetry is P2/m. The calculation puts the total magnetization at 0.0 μB per formula unit. The value obtained for the formation energy (no corrections) is -1.761 eV/atom.

abc: 4.310 7.496 7.560
angles: 109.17 90.00 90.00
Element x y z (fractional)
Th: 0.500 0.500 0.000
Nd: 0.000 0.000 0.000
Ac: 0.000 0.500 0.500
Ac: 0.500 0.000 0.500
Se: 0.500 0.245 0.234
Se: 0.000 0.745 0.234
Se: 0.500 0.755 0.766
Se: 0.000 0.255 0.766

This record from the Alexandria database describes a relaxed structure of LiHoGa4. The functional is PBE.

The energy relative to the elements comes out at -451 meV/atom. As for the density: 6.629 Mg/m³. The symmetry is Immm. The calculation puts the total magnetization at 0.0 μB per formula unit.

abc: 4.303 5.579 5.580
angles: 74.48 67.32 67.32
Element x y z (fractional)
Ga: 0.665 0.129 0.041
Ga: 0.665 0.541 0.629
Ga: 0.335 0.871 0.959
Ga: 0.335 0.459 0.371
Ho: 0.000 0.000 0.500
Li: 0.000 0.500 0.000

This record from the Alexandria database describes a relaxed structure of GaSb3S. The functional is PBE.

As for the density: 5.343 Mg/m³. The symmetry is Pm-3m. The calculation puts the total magnetization at 0.0 μB per formula unit. The value obtained for the formation energy (no corrections) is 0.511 eV/atom.

abc: 5.256 5.256 5.256
angles: 90.00 90.00 90.00
Element x y z (fractional)
Sb: 0.500 0.000 0.000
Sb: 0.000 0.500 0.000
Sb: 0.000 0.000 0.500
Ga: 0.500 0.500 0.500
S: 0.000 0.000 0.000

This record from the Alexandria database describes a relaxed structure of LuZrSn. The functional is PBE.

The energy relative to the elements comes out at -196 meV/atom. As for the density: 8.527 Mg/m³. The symmetry is P3m1. The calculation puts the total magnetization at 0.0 μB per formula unit.

abc: 3.425 5.027 5.027
angles: 120.00 90.00 90.00
Element x y z (fractional)
Sn: 0.052 0.000 0.000
Lu: 0.700 0.333 0.667
Zr: 0.249 0.667 0.333